A geometry-optimized Cd5Bi structure, computed with PBE.

Summary:
Total DFT energy (no corrections) = -1.34 eV per atom
E_form = 0.07 eV/atom

```
Cd5Bi
1.0
4.1361 0.0000 0.0000
0.0000 4.1361 0.0000
0.0000 0.0000 8.9427
Cd Bi
5 1
Direct
0.0000 0.0000 0.0000
0.0000 0.0000 0.3274
0.0000 0.0000 0.6726
0.5000 0.5000 0.1587
0.5000 0.5000 0.8413
0.5000 0.5000 0.5000
```